Record 1
# Mn4ZnRe (GGA-PBE, relaxed)
# V in Å³/f.u.: 73
# Total magnetization in μB per atom: 0.57
# Symmetry: No. 216
# ΔH_f (0 K) in eV per atom: 0.0959
# Raw total energy in eV per atom: -8.30
data_Mn4ZnRe
_space_group_name_H-M_alt 'P 1'
_space_group_IT_number 1
_space_group_name_Hall 'P 1'
_cell_length_a 4.6878
_cell_length_b 4.6878
_cell_length_c 4.6878
_cell_angle_alpha 60.00
_cell_angle_beta 60.00
_cell_angle_gamma 60.00
loop_
_atom_site_label
_atom_site_type_symbol
_atom_site_fract_x
_atom_site_fract_y
_atom_site_fract_z
Mn1 Mn 0.8772 0.3743 0.3743
Mn2 Mn 0.3743 0.3743 0.3743
Mn3 Mn 0.3743 0.3743 0.8772
Mn4 Mn 0.3743 0.8772 0.3743
Re1 Re 0.7500 0.7500 0.7500
Zn1 Zn 0.0000 0.0000 0.0000

=====

Record 2
# LaPr4Rh4 (GGA-PBE, relaxed)
# V in Å³/f.u.: 242
# Total magnetization in μB per atom: 0.00
# Symmetry: No. 86
# ΔH_f (0 K) in eV per atom: -0.5698
# Raw total energy in eV per atom: -6.51
data_LaPr4Rh4
_space_group_name_H-M_alt 'P 1'
_space_group_IT_number 1
_space_group_name_Hall 'P 1'
_cell_length_a 5.8676
_cell_length_b 9.0778
_cell_length_c 9.0778
_cell_angle_alpha 90.00
_cell_angle_beta 90.00
_cell_angle_gamma 90.00
loop_
_atom_site_label
_atom_site_type_symbol
_atom_site_fract_x
_atom_site_fract_y
_atom_site_fract_z
Pr1 Pr 0.4209 0.6861 0.0882
Pr2 Pr 0.5791 0.0882 0.3139
Pr3 Pr 0.9209 0.5882 0.8139
Pr4 Pr 0.0791 0.1861 0.5882
Pr5 Pr 0.4209 0.3139 0.9118
Pr6 Pr 0.0791 0.8139 0.4118
Pr7 Pr 0.5791 0.9118 0.6861
Pr8 Pr 0.9209 0.4118 0.1861
Rh1 Rh 0.4130 0.3792 0.2224
Rh2 Rh 0.4130 0.6208 0.7776
Rh3 Rh 0.0870 0.8792 0.7224
Rh4 Rh 0.9130 0.2776 0.8792
Rh5 Rh 0.5870 0.2224 0.6208
Rh6 Rh 0.9130 0.7224 0.1208
Rh7 Rh 0.5870 0.7776 0.3792
Rh8 Rh 0.0870 0.1208 0.2776
La1 La 0.5000 0.5000 0.5000
La2 La 0.0000 0.0000 0.0000

=====

- Which value of ΔH_f (0 K) does entry 1 give?
  0.0959 eV per atom

=====

- total magnetization of number 2 (LaPr4Rh4)?
  0.00 μB per atom

=====

Please write out number 1 again, unchanged.
# Mn4ZnRe (GGA-PBE, relaxed)
# V in Å³/f.u.: 73
# Total magnetization in μB per atom: 0.57
# Symmetry: No. 216
# ΔH_f (0 K) in eV per atom: 0.0959
# Raw total energy in eV per atom: -8.30
data_Mn4ZnRe
_space_group_name_H-M_alt 'P 1'
_space_group_IT_number 1
_space_group_name_Hall 'P 1'
_cell_length_a 4.6878
_cell_length_b 4.6878
_cell_length_c 4.6878
_cell_angle_alpha 60.00
_cell_angle_beta 60.00
_cell_angle_gamma 60.00
loop_
_atom_site_label
_atom_site_type_symbol
_atom_site_fract_x
_atom_site_fract_y
_atom_site_fract_z
Mn1 Mn 0.8772 0.3743 0.3743
Mn2 Mn 0.3743 0.3743 0.3743
Mn3 Mn 0.3743 0.3743 0.8772
Mn4 Mn 0.3743 0.8772 0.3743
Re1 Re 0.7500 0.7500 0.7500
Zn1 Zn 0.0000 0.0000 0.0000

=====

- What is the raw total energy in the second record?
  -6.51 eV per atom